A plane-wave DFT calculation with PBE was carried out for a geometry-optimized In2Hg2Au3 structure.

Unit cell a=3.7985 b=6.1754 c=7.4645 alpha=93.98 beta=104.74 gamma=90.00
Positions (direct):
Hg  0.0926  0.6003  0.1852
Hg  0.9074  0.3997  0.8148
Au  0.0000  0.0000  0.0000
Au  0.2457  0.3205  0.4915
Au  0.7543  0.6795  0.5085
In  0.6472  0.0521  0.2945
In  0.3528  0.9479  0.7055

Summary:
formation energy	-82	meV/atom
density of states at the Fermi level	2.32	states/eV/cell

=====

A plane-wave DFT calculation with PBE was carried out for a geometry-optimized In2HgAu9 structure.

Unit cell a=4.2041 b=4.2041 c=12.8824 alpha=90.00 beta=90.00 gamma=90.00
Positions (direct):
Au  0.5000  0.0000  0.8309
Au  0.5000  0.5000  0.0000
Au  0.5000  0.5000  0.3357
Au  0.5000  0.0000  0.1691
Au  0.0000  0.5000  0.5000
Au  0.5000  0.5000  0.6643
Au  0.0000  0.5000  0.1691
Au  0.5000  0.0000  0.5000
Au  0.0000  0.5000  0.8309
In  0.0000  0.0000  0.6667
In  0.0000  0.0000  0.3333
Hg  0.0000  0.0000  0.0000

Summary:
formation energy	-45	meV/atom
density of states at the Fermi level	5.88	states/eV/cell